(1)
## Ca2LaOsPt (GGA-PBE)

Data for crystalline Ca2LaOsPt at its relaxed geometry.

Space group: P4/mmm, No. 123
ρ, g/cm3: 6.59
Formation energy, meV per atom: 165

Cell lengths 5.395, 5.236, 5.395 Å; angles 90.00, 90.00, 90.00 degrees
Atoms (fractional coordinates):
Ca 0.000 0.000 0.500
Pt 0.500 0.500 0.500
Os 0.000 0.000 0.000
Ca 0.500 0.000 0.000
La 0.000 0.500 0.000

(2)
## KTl3V2Cl9 (GGA-PBE)

Data for crystalline KTl3V2Cl9 at its relaxed geometry.

Formation energy (no corrections), kJ/mol of atoms: -116.4
Space group: P-3m1, No. 164
ρ, g/cm3: 4.07

Cell lengths 7.102, 7.102, 10.016 Å; angles 90.00, 90.00, 120.00 degrees
Last column: magnetic moment on the atom in μB.
Atoms (fractional coordinates):
Tl 0.667 0.333 0.261  0.00
Cl 0.500 0.000 0.000  -0.01
Tl 0.333 0.667 0.739  0.00
Cl 0.173 0.827 0.279  -0.01
Cl 0.346 0.173 0.721  -0.01
Cl 0.500 0.500 0.000  -0.01
V 0.667 0.333 0.849  2.23
Cl 0.654 0.827 0.279  -0.01
K 0.000 0.000 0.500  0.00
Cl 0.173 0.346 0.279  -0.01
Tl 0.000 0.000 0.000  0.00
V 0.333 0.667 0.151  2.23
Cl 0.827 0.173 0.721  -0.01
Cl 0.000 0.500 0.000  -0.01
Cl 0.827 0.654 0.721  -0.01

(3)
## CaAsS2N (GGA-PBE)

Data for crystalline CaAsS2N at its relaxed geometry.

Energy above the lowest structure with this stoichiometry, meV/atom: 0
Formation energy (no corrections), kJ/mol of atoms: -12.3
Space group: P4/mmm, No. 123
ρ, g/cm3: 3.50

Cell lengths 4.917, 4.917, 3.794 Å; angles 90.00, 90.00, 90.00 degrees
Last column: magnetic moment on the atom in μB.
Atoms (fractional coordinates):
S 0.000 0.500 0.000  0.08
Ca 0.500 0.500 0.500  0.00
As 0.000 0.000 0.000  -0.03
S 0.500 0.000 0.000  0.08
N 0.000 0.000 0.500  0.42

(4)
## Tb4Sm4Tm5 (GGA-PBE)

Data for crystalline Tb4Sm4Tm5 at its relaxed geometry.

Space group: I4/m, No. 87
ρ, g/cm3: 8.39
Formation energy, meV per atom: 20

Cell lengths 5.012, 9.405, 9.405 Å; angles 85.93, 74.55, 74.55 degrees
Atoms (fractional coordinates):
Tb 0.847 0.924 0.382
Tm 0.000 0.000 0.000
Tb 0.771 0.382 0.076
Sm 0.922 0.461 0.695
Tm 0.690 0.849 0.772
Sm 0.617 0.305 0.461
Tm 0.461 0.228 0.849
Tm 0.310 0.151 0.228
Tb 0.229 0.618 0.924
Sm 0.383 0.695 0.539
Tm 0.539 0.772 0.151
Tb 0.153 0.076 0.618
Sm 0.078 0.539 0.305

(5)
## TiNiB2Sb (GGA-PBE)

Data for crystalline TiNiB2Sb at its relaxed geometry.

Formation energy (no corrections), kJ/mol of atoms: 195.8
Space group: P4/mmm, No. 123
ρ, g/cm3: 4.29

Cell lengths 4.314, 5.205, 4.314 Å; angles 90.00, 90.00, 90.00 degrees
Last column: magnetic moment on the atom in μB.
Atoms (fractional coordinates):
Ni 0.500 0.500 0.500  0.29
Sb 0.000 0.000 0.000  0.00
Ti 0.000 0.500 0.000  -0.34
B 0.000 0.000 0.500  0.01
B 0.500 0.000 0.000  0.01

(6)
## Tl4InSn2Hg2 (GGA-PBE)

Data for crystalline Tl4InSn2Hg2 at its relaxed geometry.

Space group: P-1, No. 2
ρ, g/cm3: 9.64
Formation energy, meV per atom: 47

Cell lengths 6.985, 7.603, 6.856 Å; angles 126.72, 110.28, 84.67 degrees
Atoms (fractional coordinates):
Tl 0.642 0.796 0.438
Hg 0.837 0.196 0.458
Tl 0.580 0.723 0.869
Hg 0.163 0.804 0.542
Tl 0.358 0.204 0.562
Sn 0.157 0.604 0.972
Tl 0.420 0.277 0.131
In 0.000 0.000 0.000
Sn 0.843 0.396 0.028

(7)
## LiSb7 (GGA-PBE)

Data for crystalline LiSb7 at its relaxed geometry.

Formation energy (no corrections), kJ/mol of atoms: 14.6
Space group: Fm-3m, No. 225
ρ, g/cm3: 6.69

Cell lengths 6.708, 6.708, 6.708 Å; angles 60.00, 60.00, 60.00 degrees
Atoms (fractional coordinates):
Sb 0.000 0.500 0.000
Sb 0.500 0.000 0.000
Sb 0.500 0.000 0.500
Sb 0.500 0.500 0.000
Sb 0.500 0.500 0.500
Sb 0.000 0.500 0.500
Sb 0.000 0.000 0.500
Li 0.000 0.000 0.000

(8)
## HfFe9W2 (GGA-PBE)

Data for crystalline HfFe9W2 at its relaxed geometry.

Space group: R-3m, No. 166
ρ, g/cm3: 11.50
Formation energy, meV per atom: -38

Cell lengths 4.743, 4.743, 8.239 Å; angles 73.27, 73.27, 60.00 degrees
Last column: magnetic moment on the atom in μB.
Atoms (fractional coordinates):
Fe 0.411 0.919 0.260  1.46
Fe 0.081 0.589 0.740  1.46
Fe 0.589 0.589 0.740  1.46
Hf 0.000 0.000 0.000  -0.27
Fe 0.411 0.411 0.260  1.46
Fe 0.589 0.081 0.740  1.46
W 0.142 0.142 0.573  -0.39
Fe 0.500 0.500 0.500  1.35
Fe 0.919 0.411 0.260  1.46
Fe 0.334 0.334 0.998  1.94
W 0.858 0.858 0.427  -0.39
Fe 0.666 0.666 0.002  1.94

(9)
## ErZn2CuPt4 (GGA-PBE)

Data for crystalline ErZn2CuPt4 at its relaxed geometry.

Space group: R-3m, No. 166
ρ, g/cm3: 14.63
Formation energy, meV per atom: -621

Cell lengths 4.400, 4.400, 8.140 Å; angles 74.32, 74.32, 60.00 degrees
Atoms (fractional coordinates):
Zn 0.244 0.244 0.267
Zn 0.756 0.756 0.733
Cu 0.500 0.500 0.500
Er 0.000 0.000 0.000
Pt 0.391 0.391 0.826
Pt 0.609 0.609 0.174
Pt 0.873 0.873 0.382
Pt 0.127 0.127 0.618

(10)
## Ca2PrO4 (GGA-PBE)

Data for crystalline Ca2PrO4 at its relaxed geometry.

Formation energy (no corrections), kJ/mol of atoms: -263.0
Space group: Pbam, No. 55
ρ, g/cm3: 4.38

Cell lengths 3.624, 5.976, 9.978 Å; angles 90.00, 90.00, 90.00 degrees
Last column: magnetic moment on the atom in μB.
Atoms (fractional coordinates):
Ca 0.500 0.942 0.674  -0.01
Ca 0.500 0.058 0.326  -0.01
O 0.000 0.162 0.785  0.29
O 0.500 0.252 0.038  0.14
O 0.000 0.338 0.285  0.29
Ca 0.500 0.442 0.826  -0.01
Pr 0.000 0.000 0.000  0.00
O 0.500 0.752 0.462  0.14
Pr 0.000 0.500 0.500  0.00
O 0.000 0.838 0.215  0.29
O 0.500 0.248 0.538  0.14
Ca 0.500 0.558 0.174  -0.01
O 0.500 0.748 0.962  0.14
O 0.000 0.662 0.715  0.29

(11)
## MgNiMo2S (GGA-PBE)

Data for crystalline MgNiMo2S at its relaxed geometry.

Energy above the lowest structure with this stoichiometry, meV/atom: 0
Formation energy (no corrections), kJ/mol of atoms: 103.1
Space group: P4/mmm, No. 123
ρ, g/cm3: 5.36

Cell lengths 4.525, 4.648, 4.525 Å; angles 90.00, 90.00, 90.00 degrees
Last column: magnetic moment on the atom in μB.
Atoms (fractional coordinates):
Mo 0.000 0.000 0.500  1.14
Ni 0.000 0.000 0.000  0.11
Mo 0.500 0.000 0.000  0.98
Mg 0.000 0.500 0.000  -0.01
S 0.500 0.500 0.500  -0.03

(12)
## CaAc2MnN4 (GGA-PBE)

Data for crystalline CaAc2MnN4 at its relaxed geometry.

Formation energy (no corrections), kJ/mol of atoms: -72.4
Space group: Cmcm, No. 63
ρ, g/cm3: 6.42

Cell lengths 3.711, 7.025, 12.438 Å; angles 90.00, 90.00, 105.32 degrees
Last column: magnetic moment on the atom in μB.
Atoms (fractional coordinates):
N 0.000 0.000 0.000  0.01
N 0.359 0.719 0.750  -0.04
N 0.265 0.529 0.133  0.03
N 0.735 0.471 0.867  0.03
Ca 0.160 0.319 0.750  0.04
N 0.265 0.529 0.367  0.03
Ac 0.373 0.745 0.962  0.04
N 0.000 0.000 0.500  0.01
Ac 0.373 0.745 0.538  0.04
Mn 0.817 0.635 0.750  2.45
Mn 0.183 0.365 0.250  2.45
N 0.735 0.471 0.633  0.03
Ac 0.627 0.255 0.038  0.04
Ca 0.840 0.681 0.250  0.04
N 0.641 0.281 0.250  -0.04
Ac 0.627 0.255 0.462  0.04